Material: Al2BHPd
Method: DFT, PBE-GGA
State: optimized geometry

Results
**Energy**: -3.926 eV per atom

a b c (Å): 4.7429 4.7429 3.9994
angles (deg): 90.00 90.00 90.00
Closest atoms and distances in Å follow each position.
Space group P4/mmm (No. 123)
Symmetry-distinct sites (fractional):
Al 0.0000 0.5000 0.0000 (multiplicity 2)  2 Pd 2.37
B 0.0000 0.0000 0.5000 (multiplicity 1)  2 Pd 2.00
H 0.5000 0.5000 0.5000 (multiplicity 1)  8 Al 3.10, 4 B 3.35
Pd 0.0000 0.0000 0.0000 (multiplicity 1)  2 B 2.00